Density functional theory data (PBE) for a relaxed Pr3NdSn2 crystal. Values from VASP.

Summary:
Excess energy over the best structure of this formula in the dataset in kcal/mol of atoms: 5.18
Fermi-level density of states in states/eV per atom: 1.41
Calculated density in kg/m³: 5995
V in Å³/cell: 446

```
&SYSTEM
  ibrav = 0, nat = 12, ntyp = 3
/
ATOMIC_SPECIES
Pr 140.91 Pr.upf
Nd 144.24 Nd.upf
Sn 118.71 Sn.upf
CELL_PARAMETERS angstrom
-3.781 7.517 3.919
3.781 -7.517 3.919
3.781 7.517 -3.919
ATOMIC_POSITIONS crystal
Pr 0.036 0.750 0.286
Pr 0.250 0.250 0.000
Pr 0.464 0.750 0.714
Pr 0.536 0.250 0.286
Pr 0.750 0.750 0.000
Pr 0.964 0.250 0.714
Nd 0.000 0.500 0.500
Nd 0.500 0.000 0.500
Sn 0.141 0.187 0.328
Sn 0.359 0.687 0.046
Sn 0.641 0.313 0.954
Sn 0.859 0.813 0.672
```



Density functional theory data (PBE) for a relaxed Pm3Tl2In3Ru crystal. Values from VASP.

Summary:
Uncorrected energy in eV per atom: -4.45
Fermi-level density of states in states/eV per atom: 0.67
Calculated density in kg/m³: 9193
V in Å³/cell: 233

```
&SYSTEM
  ibrav = 0, nat = 9, ntyp = 4
/
ATOMIC_SPECIES
Pm 145.00 Pm.upf
Tl 204.38 Tl.upf
In 114.82 In.upf
Ru 101.07 Ru.upf
CELL_PARAMETERS angstrom
7.629 0.000 0.000
-3.815 6.607 0.000
0.000 0.000 4.620
ATOMIC_POSITIONS crystal
Pm 0.000 0.386 0.000
Pm 0.386 0.000 0.000
Pm 0.614 0.614 0.000
Tl 0.333 0.667 0.500
Tl 0.667 0.333 0.500
In 0.000 0.769 0.500
In 0.231 0.231 0.500
In 0.769 0.000 0.500
Ru 0.000 0.000 0.000
```



Density functional theory data (PBE) for a relaxed Dy2Tm3Au2 crystal. Values from VASP.

Summary:
Uncorrected energy in eV per atom: -4.68
Fermi-level density of states in states/eV per atom: 1.42
Calculated density in kg/m³: 10790
V in Å³/cell: 189

```
&SYSTEM
  ibrav = 0, nat = 7, ntyp = 3
/
ATOMIC_SPECIES
Dy 162.50 Dy.upf
Tm 168.93 Tm.upf
Au 196.97 Au.upf
CELL_PARAMETERS angstrom
6.308 -1.831 0.000
6.308 1.831 0.000
-3.997 0.000 8.165
ATOMIC_POSITIONS crystal
Dy 0.151 0.151 0.313
Dy 0.849 0.849 0.687
Tm 0.387 0.387 0.056
Tm 0.500 0.500 0.500
Tm 0.613 0.613 0.944
Au 0.171 0.171 0.732
Au 0.829 0.829 0.268
```